! PBE CsKTl2Cl4, relaxed; values from VASP
! **ΔE_f (raw)**: -34.0 kcal/mol of atoms
! **Magnetic moment**: 0.00 μB per atom
! **Total DFT energy (no corrections)**: -3.23 eV per atom
&SYSTEM
  ibrav = 0, nat = 8, ntyp = 4
/
ATOMIC_SPECIES
Cs 132.91 Cs.upf
K 39.10 K.upf
Tl 204.38 Tl.upf
Cl 35.45 Cl.upf
CELL_PARAMETERS angstrom
8.0974 0.0000 0.0000
0.0000 4.6965 0.0000
-2.7304 0.0000 7.6668
ATOMIC_POSITIONS angstrom
Cs 0.0000 0.0000 0.0000
K -1.3652 2.3482 3.8334
Tl 2.6835 0.0000 3.8334
Tl 4.0487 2.3482 0.0000
Cl 0.0159 0.0000 5.6684
Cl 1.3833 2.3482 2.0374
Cl 3.9837 2.3482 5.6294
Cl 5.3511 0.0000 1.9984